# 1
Here is a relaxed structure of NaPdI3 from Alexandria via LeMat-Bulk. Energies are from PBE.

Cell: 5.586 5.586 5.586 Å, 90.00 90.00 90.00°
Sites, in units of the cell vectors:
Na  0.000  0.000  0.000
Pd  0.500  0.500  0.500
I  0.000  0.500  0.500
I  0.500  0.000  0.500
I  0.500  0.500  0.000

Properties
Formation energy without anion corrections (eV per atom): -0.4797
Space group: No. 221
Distance to the lowest polymorph of the same formula (meV per atom): 42.9


# 2
Here is a relaxed structure of CaBiRhPb2 from Alexandria via LeMat-Bulk. Energies are from PBE.

Cell: 5.264 5.264 5.393 Å, 90.00 90.00 90.00°
Sites, in units of the cell vectors:
Ca  0.000  0.000  0.000
Bi  0.500  0.500  0.000
Rh  0.000  0.000  0.500
Pb  0.000  0.500  0.500
Pb  0.500  0.000  0.500

Properties
Energy of formation from the pure elements (eV/atom): -0.256
Space group: No. 123
Distance to the lowest polymorph of the same formula (meV per atom): 0.0


# 3
Here is a relaxed structure of Li2InSbCl6 from Alexandria via LeMat-Bulk. Energies are from PBE.

Cell: 8.537 8.537 8.537 Å, 45.75 45.75 45.75°
Sites, in units of the cell vectors:
Li  0.000  0.000  0.000
Li  0.344  0.344  0.344
In  0.172  0.172  0.172
Sb  0.672  0.672  0.672
Cl  0.074  0.394  0.737
Cl  0.270  0.949  0.607
Cl  0.394  0.737  0.074
Cl  0.607  0.270  0.949
Cl  0.737  0.074  0.394
Cl  0.949  0.607  0.270

Properties
Formation energy without anion corrections (eV per atom): -1.2334
Space group: No. 146


# 4
Here is a relaxed structure of Ba4HPdBr2 from Alexandria via LeMat-Bulk. Energies are from PBE.

Cell: 7.646 4.494 8.774 Å, 90.00 107.23 90.00°
Sites, in units of the cell vectors:
Ba  0.233  0.000  0.209
Ba  0.255  0.500  0.788
Ba  0.745  0.500  0.212
Ba  0.767  0.000  0.791
H  0.000  0.500  0.000
Pd  0.500  0.000  0.000
Br  0.000  0.000  0.500
Br  0.500  0.500  0.500

Properties
Space group: No. 10


# 5
Here is a relaxed structure of Tb3HoN3 from Alexandria via LeMat-Bulk. Energies are from PBE.

Cell: 8.008 8.008 5.025 Å, 90.00 90.00 120.00°
Sites, in units of the cell vectors:
Tb  0.165  0.330  0.250
Tb  0.165  0.835  0.250
Tb  0.330  0.165  0.750
Tb  0.670  0.835  0.250
Tb  0.835  0.165  0.750
Tb  0.835  0.670  0.750
Ho  0.333  0.667  0.750
Ho  0.667  0.333  0.250
N  0.166  0.333  0.750
N  0.166  0.834  0.750
N  0.333  0.166  0.250
N  0.667  0.834  0.750
N  0.834  0.166  0.250
N  0.834  0.667  0.250

Properties
Formation energy without anion corrections (eV per atom): -1.2900
Space group: No. 194


# 6
Here is a relaxed structure of YTmIn2 from Alexandria via LeMat-Bulk. Energies are from PBE.

Cell: 3.743 3.743 7.487 Å, 90.00 90.00 90.00°
Sites, in units of the cell vectors:
Y  0.000  0.000  0.000
Tm  0.000  0.000  0.500
In  0.500  0.500  0.255
In  0.500  0.500  0.745

Properties
Energy of formation from the pure elements (eV/atom): -0.461
Space group: No. 123


# 7
Here is a relaxed structure of LaTbDy2Tm5 from Alexandria via LeMat-Bulk. Energies are from PBE.

Cell: 9.666 9.666 9.666 Å, 125.46 125.46 80.77°
Sites, in units of the cell vectors:
La  0.250  0.250  0.000
La  0.750  0.750  0.000
Tb  0.250  0.750  0.500
Tb  0.750  0.250  0.500
Dy  0.113  0.613  0.727
Dy  0.387  0.113  0.500
Dy  0.613  0.887  0.500
Dy  0.887  0.387  0.273
Tm  0.000  0.000  0.000
Tm  0.074  0.164  0.500
Tm  0.164  0.664  0.090
Tm  0.336  0.426  0.500
Tm  0.426  0.926  0.090
Tm  0.500  0.500  0.000
Tm  0.574  0.074  0.910
Tm  0.664  0.574  0.500
Tm  0.836  0.336  0.910
Tm  0.926  0.836  0.500

Properties
Energy of formation from the pure elements (eV/atom): 0.281
Space group: No. 140


Number 1: N(E_F) 0.290 states/eV per atom, energy -2.712 eV/atom. Number 2: N(E_F) 0.271 states/eV per atom, energy -4.386 eV/atom. Number 3: N(E_F) 0.000 states/eV per atom, energy -3.410 eV/atom. Number 4: N(E_F) 0.679 states/eV per atom, energy -3.457 eV/atom. Number 5: N(E_F) 0.401 states/eV per atom, energy -7.496 eV/atom. Number 6: N(E_F) 0.608 states/eV per atom, energy -4.564 eV/atom. Number 7: N(E_F) 1.222 states/eV per atom, energy -4.288 eV/atom.